Record 1
DFT (PBEsol) results for an optimized crystal structure of NiMoAs2Se.

extended XYZ file:
```
5
Lattice="4.793 0.000 0.000 0.000 4.793 0.000 0.000 0.000 4.771" Properties=species:S:1:pos:R:3 pbc="T T T"
Ni 0.000 0.000 0.000
Mo 2.396 2.396 2.386
As 0.000 2.396 2.386
As 2.396 0.000 2.386
Se 2.396 2.396 0.000
```

Calculated values
uncorrected energy	-5.5114	eV/atom
total magnetic moment	0.068	μB per atom


Record 2
DFT (PBEsol) results for an optimized crystal structure of MoAs2O7.

extended XYZ file:
```
40
Lattice="7.484 0.000 0.000 0.000 8.358 0.000 -0.996 0.000 10.069" Properties=species:S:1:pos:R:3 pbc="T T T"
Mo 0.964 0.583 3.079
Mo 0.466 3.596 8.114
Mo 6.022 4.763 1.956
Mo 5.524 7.775 6.990
As 0.909 5.944 4.987
As 0.411 6.593 10.022
As 3.042 6.233 2.602
As 2.544 6.304 7.636
As 3.944 2.054 2.433
As 3.446 2.125 7.468
As 6.077 1.765 0.047
As 5.579 2.414 5.082
O -0.067 0.527 1.730
O -0.565 3.652 6.765
O 0.223 1.637 4.211
O -0.275 2.542 9.245
O 0.053 5.210 8.968
O 0.551 7.327 3.933
O 2.297 5.481 1.227
O 1.800 7.057 6.262
O 2.242 1.998 2.577
O 1.745 2.182 7.612
O 2.529 5.504 4.071
O 2.031 7.034 9.106
O 2.195 4.631 7.578
O 2.693 7.907 2.544
O 3.795 0.452 7.525
O 4.293 3.727 2.491
O 4.457 1.325 0.963
O 3.959 2.854 5.998
O 4.743 6.177 2.458
O 4.246 6.361 7.492
O 4.688 1.302 3.807
O 4.190 2.878 8.842
O 5.937 1.031 6.136
O 6.435 3.148 1.101
O 6.763 5.816 0.824
O 6.265 6.721 5.859
O 7.053 4.706 3.304
O 6.555 7.832 8.339
```

Calculated values
uncorrected energy	-7.3011	eV/atom
total magnetic moment	0.000	μB per atom


Record 3
DFT (PBEsol) results for an optimized crystal structure of RbMoAsO6.

extended XYZ file:
```
36
Lattice="0.000 6.420 8.141 5.555 0.000 8.141 5.555 6.420 0.000" Properties=species:S:1:pos:R:3 pbc="T T T"
Rb 7.482 4.815 6.106
Rb 10.260 8.025 10.177
Rb 0.850 4.815 6.106
Rb 3.627 8.025 10.177
Mo 4.166 1.974 6.106
Mo 6.943 5.184 10.177
Mo 4.166 7.656 6.106
Mo 6.943 10.866 10.177
As 4.166 4.815 4.010
As 6.943 8.025 8.080
As 4.166 4.815 8.202
As 6.943 8.025 12.273
O 5.235 3.990 2.914
O 3.612 0.889 4.918
O 4.720 0.889 7.294
O 7.497 4.099 8.989
O 3.337 3.643 4.889
O 4.995 3.643 7.323
O 4.995 5.987 4.889
O 3.097 5.640 2.914
O 7.772 6.853 8.960
O 8.012 8.850 6.985
O 6.390 4.099 11.365
O 5.875 7.200 6.985
O 5.235 5.640 9.298
O 4.720 8.741 4.918
O 3.097 3.990 9.298
O 3.337 5.987 7.323
O 8.012 7.200 13.369
O 6.115 6.853 11.393
O 6.115 9.196 8.960
O 7.772 9.196 11.393
O 3.612 8.741 7.294
O 6.390 11.951 8.989
O 7.497 11.951 11.365
O 5.875 8.850 13.369
```

Calculated values
uncorrected energy	-7.2135	eV/atom
total magnetic moment	0.000	μB per atom


Record 4
DFT (PBEsol) results for an optimized crystal structure of Ta2MoAsO.

extended XYZ file:
```
5
Lattice="3.998 0.000 0.000 0.000 3.998 0.000 0.000 0.000 4.774" Properties=species:S:1:pos:R:3 pbc="T T T"
Ta 0.000 1.999 0.000
Ta 1.999 0.000 0.000
Mo 0.000 0.000 2.387
As 1.999 1.999 2.387
O 1.999 1.999 0.000
```

Calculated values
uncorrected energy	-9.6620	eV/atom
total magnetic moment	0.047	μB per atom


Record 5
DFT (PBEsol) results for an optimized crystal structure of MoAsOs3.

extended XYZ file:
```
5
Lattice="4.626 0.000 0.000 0.000 4.626 0.000 0.000 0.000 4.626" Properties=species:S:1:pos:R:3 pbc="T T T"
Mo 0.000 0.000 0.000
As 2.313 2.313 2.313
Os 0.000 0.000 2.313
Os 0.000 2.313 0.000
Os 2.313 0.000 0.000
```

Calculated values
formation energy from the elements	230.8	kJ/mol of atoms
total magnetic moment	0.000	μB per atom


Record 6
DFT (PBEsol) results for an optimized crystal structure of MoAs4Os.

extended XYZ file:
```
6
Lattice="0.000 3.677 3.677 3.677 0.000 3.677 3.677 3.677 0.000" Properties=species:S:1:pos:R:3 pbc="T T T"
Mo 0.000 0.000 0.000
As 2.757 2.757 2.757
As 4.597 4.597 2.757
As 4.597 2.757 4.597
As 2.757 4.597 4.597
Os 5.516 5.516 5.516
```

Calculated values
formation energy from the elements	109.7	kJ/mol of atoms
total magnetic moment	0.000	μB per atom


Record 7
DFT (PBEsol) results for an optimized crystal structure of MoAs2Os.

extended XYZ file:
```
4
Lattice="2.879 0.000 0.000 0.000 2.879 0.000 0.000 0.000 8.026" Properties=species:S:1:pos:R:3 pbc="T T T"
Mo 0.000 0.000 0.000
As 0.000 0.000 3.397
As 1.440 1.440 6.209
Os 1.440 1.440 1.782
```

Calculated values
formation energy from the elements	0.3	kJ/mol of atoms
total magnetic moment	0.000	μB per atom


Record 8
DFT (PBEsol) results for an optimized crystal structure of MoAsOs.

extended XYZ file:
```
3
Lattice="0.000 2.946 2.946 2.946 0.000 2.946 2.946 2.946 0.000" Properties=species:S:1:pos:R:3 pbc="T T T"
Mo 0.000 0.000 0.000
As 1.473 1.473 1.473
Os 4.418 4.418 4.418
```

Calculated values
formation energy from the elements	35.2	kJ/mol of atoms
polymorph energy (0 for the lowest one)	211.9	meV per atom
total magnetic moment	0.000	μB per atom


Record 9
DFT (PBEsol) results for an optimized crystal structure of MoAsOs.

extended XYZ file:
```
3
Lattice="0.000 2.347 6.552 1.489 0.000 6.552 1.489 2.347 0.000" Properties=species:S:1:pos:R:3 pbc="T T T"
Mo 0.000 0.000 0.000
As 1.489 2.347 4.337
Os 1.489 2.347 8.654
```

Calculated values
formation energy from the elements	49.3	kJ/mol of atoms
polymorph energy (0 for the lowest one)	358.5	meV per atom
total magnetic moment	0.000	μB per atom


Record 10
DFT (PBEsol) results for an optimized crystal structure of MoAsOs.

extended XYZ file:
```
3
Lattice="2.831 0.000 0.000 -1.415 2.452 0.000 0.000 0.000 6.427" Properties=species:S:1:pos:R:3 pbc="T T T"
Mo 0.000 0.000 0.000
As 0.000 1.634 2.196
Os 1.415 0.817 4.358
```

Calculated values
formation energy from the elements	14.8	kJ/mol of atoms
polymorph energy (0 for the lowest one)	0.0	meV per atom
total magnetic moment	0.000	μB per atom


Record 11
DFT (PBEsol) results for an optimized crystal structure of SrMo2AsOs.

extended XYZ file:
```
5
Lattice="4.663 0.000 0.000 0.000 4.663 0.000 0.000 0.000 5.647" Properties=species:S:1:pos:R:3 pbc="T T T"
Sr 0.000 0.000 0.000
Mo 0.000 2.331 2.824
Mo 2.331 0.000 2.824
As 2.331 2.331 0.000
Os 0.000 0.000 2.824
```

Calculated values
formation energy from the elements	127.0	kJ/mol of atoms
total magnetic moment	0.215	μB per atom


Record 12
DFT (PBEsol) results for an optimized crystal structure of MoAsP.

extended XYZ file:
```
3
Lattice="-1.626 1.626 4.128 1.626 -1.626 4.128 1.626 1.626 -4.128" Properties=species:S:1:pos:R:3 pbc="T T T"
Mo 0.000 0.000 0.000
As 0.000 0.000 2.671
P 0.000 0.000 5.359
```

Calculated values
formation energy from the elements	-13.3	kJ/mol of atoms
total magnetic moment	0.000	μB per atom